[1]
Compound: Mn2ReSi
Source: Alexandria via LeMat-Bulk
Functional: PBE
Structure: relaxed

formation energy without anion corrections = -0.029 eV per atom
crystal system = trigonal
E = -9.0816 eV/atom

Geometry as CIF:
```
data_Mn2ReSi
_chemical_formula_sum 'Mn6 Re3 Si3'
_symmetry_space_group_name_H-M 'R 3 m'
_symmetry_Int_Tables_number 160
_symmetry_space_group_name_Hall 'R 3 -2"'
_cell_length_a 3.9551
_cell_length_b 3.9551
_cell_length_c 12.0550
_cell_angle_alpha 90.00
_cell_angle_beta 90.00
_cell_angle_gamma 120.00
loop_
_atom_site_label
_atom_site_type_symbol
_atom_site_fract_x
_atom_site_fract_y
_atom_site_fract_z
Mn1 Mn 0.0000 0.0000 0.0000
Mn2 Mn 0.0000 0.0000 0.1934
Re1 Re 0.0000 0.0000 0.4089
Si1 Si 0.0000 0.0000 0.6176
```


[2]
Compound: In2MoW
Source: Alexandria via LeMat-Bulk
Functional: PBE
Structure: relaxed

distance to the lowest polymorph of the same formula = 38 meV per atom
crystal system = tetragonal
E = -6.9804 eV/atom

Geometry as CIF:
```
data_In2MoW
_chemical_formula_sum 'In2 Mo1 W1'
_symmetry_space_group_name_H-M 'P 4 m m'
_symmetry_Int_Tables_number 99
_cell_length_a 3.2715
_cell_length_b 3.2715
_cell_length_c 7.3083
_cell_angle_alpha 90.00
_cell_angle_beta 90.00
_cell_angle_gamma 90.00
loop_
_symmetry_equiv_pos_as_xyz
'x,y,z'
'-y,x,z'
'-x,-y,z'
'y,-x,z'
'-x,y,z'
'y,x,z'
'x,-y,z'
'-y,-x,z'
loop_
_atom_site_label
_atom_site_type_symbol
_atom_site_fract_x
_atom_site_fract_y
_atom_site_fract_z
In1 In 0.0000 0.0000 0.0000
In2 In 0.5000 0.5000 0.3218
Mo1 Mo 0.0000 0.0000 0.5666
W1 W 0.5000 0.5000 0.7528
```


[3]
Compound: CrBr3
Source: Alexandria via LeMat-Bulk
Functional: PBE
Structure: relaxed

formation energy without anion corrections = -0.566 eV per atom
crystal system = orthorhombic
E = -4.2263 eV/atom

Geometry as CIF:
```
data_CrBr3
_chemical_formula_sum 'Cr4 Br12'
_symmetry_space_group_name_H-M 'C m c m'
_symmetry_Int_Tables_number 63
_symmetry_space_group_name_Hall '-C 2c 2'
_cell_length_a 12.3520
_cell_length_b 13.9301
_cell_length_c 3.3719
_cell_angle_alpha 90.00
_cell_angle_beta 90.00
_cell_angle_gamma 90.00
loop_
_atom_site_label
_atom_site_type_symbol
_atom_site_fract_x
_atom_site_fract_y
_atom_site_fract_z
Cr1 Cr 0.0000 0.2157 0.2500
Br1 Br 0.0000 0.3537 0.7500
Br2 Br 0.1344 0.1471 0.7500
```


[4]
Compound: AlRuW2
Source: Alexandria via LeMat-Bulk
Functional: PBE
Structure: relaxed

crystal system = tetragonal
E = -9.7064 eV/atom

Geometry as CIF:
```
data_AlRuW2
_chemical_formula_sum 'Al1 Ru1 W2'
_symmetry_space_group_name_H-M 'P 4/m m m'
_symmetry_Int_Tables_number 123
_symmetry_space_group_name_Hall '-P 4 2'
_cell_length_a 3.7811
_cell_length_b 3.7811
_cell_length_c 4.2588
_cell_angle_alpha 90.00
_cell_angle_beta 90.00
_cell_angle_gamma 90.00
loop_
_atom_site_label
_atom_site_type_symbol
_atom_site_fract_x
_atom_site_fract_y
_atom_site_fract_z
Al1 Al 0.0000 0.0000 0.0000
Ru1 Ru 0.5000 0.5000 0.0000
W1 W 0.0000 0.5000 0.5000
```


[5]
Compound: Ho2Er3Tm5
Source: Alexandria via LeMat-Bulk
Functional: PBE
Structure: relaxed

distance to the lowest polymorph of the same formula = 157 meV per atom
crystal system = orthorhombic
E = -4.1587 eV/atom

Geometry as CIF:
```
data_Ho2Er3Tm5
_chemical_formula_sum 'Ho8 Er12 Tm20'
_symmetry_space_group_name_H-M 'I b a m'
_symmetry_Int_Tables_number 72
_symmetry_space_group_name_Hall '-I 2 2c'
_cell_length_a 12.5791
_cell_length_b 16.7943
_cell_length_c 6.1522
_cell_angle_alpha 90.00
_cell_angle_beta 90.00
_cell_angle_gamma 90.00
loop_
_atom_site_label
_atom_site_type_symbol
_atom_site_fract_x
_atom_site_fract_y
_atom_site_fract_z
Ho1 Ho 0.0999 0.1565 0.0000
Er1 Er 0.0000 0.0000 0.2500
Er2 Er 0.1596 0.2497 0.5000
Tm1 Tm 0.0000 0.5000 0.2500
Tm2 Tm 0.0983 0.3438 0.0000
Tm3 Tm 0.2491 0.5000 0.2500
```


[6]
Compound: Li2PmSm2Pb2
Source: Alexandria via LeMat-Bulk
Functional: PBE
Structure: relaxed

crystal system = trigonal
E = -3.9767 eV/atom

Geometry as CIF:
```
data_Li2PmSm2Pb2
_chemical_formula_sum 'Li6 Pm3 Sm6 Pb6'
_symmetry_space_group_name_H-M 'R -3 m'
_symmetry_Int_Tables_number 166
_symmetry_space_group_name_Hall '-R 3 2"'
_cell_length_a 4.8792
_cell_length_b 4.8792
_cell_length_c 27.6226
_cell_angle_alpha 90.00
_cell_angle_beta 90.00
_cell_angle_gamma 120.00
loop_
_atom_site_label
_atom_site_type_symbol
_atom_site_fract_x
_atom_site_fract_y
_atom_site_fract_z
Li1 Li 0.0000 0.0000 0.0953
Pm1 Pm 0.0000 0.0000 0.5000
Sm1 Sm 0.0000 0.0000 0.3705
Pb1 Pb 0.0000 0.0000 0.2360
```